A geometry-optimized Th6BiAu structure, computed with PBE.

Values from the calculation:
**E**: -6.36 eV/atom
**DFT formation energy**: 96 meV per atom

Cell and atoms, written as CIF:
```
data_Th6BiAu
_chemical_formula_sum 'Th12 Bi2 Au2'
_symmetry_space_group_name_H-M 'C 1 2/m 1'
_symmetry_Int_Tables_number 12
_cell_length_a 7.002
_cell_length_b 12.512
_cell_length_c 6.860
_cell_angle_alpha 90.00
_cell_angle_beta 119.73
_cell_angle_gamma 90.00
loop_
_symmetry_equiv_pos_as_xyz
'x,y,z'
'-x,-y,-z'
'-x,y,-z'
'x,-y,z'
'x+1/2,y+1/2,z'
'-x+1/2,-y+1/2,-z'
'-x+1/2,y+1/2,-z'
'x+1/2,-y+1/2,z'
loop_
_atom_site_label
_atom_site_fract_x
_atom_site_fract_y
_atom_site_fract_z
_atom_site_occupancy
Th1 0.002 0.220 0.243 1
Th2 0.025 0.500 0.766 1
Bi1 0.000 0.000 0.500 1
Au1 0.000 0.000 0.000 1
```